Record 1
## AcGaHg4 (GGA-PBE)

Data for AcGaHg4 after structural relaxation.

a = 6.123 Å, b = 6.123 Å, c = 6.123 Å
α = 60.00°, β = 60.00°, γ = 60.00°
Fractional coordinates of all 6 atoms:
Ac: 0.000 0.000 0.000
Ga: 0.750 0.750 0.750
Hg: 0.375 0.375 0.375
Hg: 0.375 0.375 0.874
Hg: 0.375 0.874 0.375
Hg: 0.874 0.375 0.375

Computed properties:
Relative energy among the computed polymorphs = 125 meV/atom
Symmetry = F-43m

Record 2
## AcGa3Hg2 (GGA-PBE)

Data for AcGa3Hg2 after structural relaxation.

a = 8.890 Å, b = 8.890 Å, c = 7.420 Å
α = 102.12°, β = 102.12°, γ = 30.22°
Fractional coordinates of all 12 atoms:
Ac: 0.117 0.117 0.193
Ac: 0.883 0.883 0.807
Ga: 0.059 0.059 0.647
Ga: 0.290 0.290 0.049
Ga: 0.387 0.387 0.491
Ga: 0.613 0.613 0.509
Ga: 0.710 0.710 0.951
Ga: 0.941 0.941 0.353
Hg: 0.231 0.231 0.652
Hg: 0.458 0.458 0.153
Hg: 0.542 0.542 0.847
Hg: 0.769 0.769 0.348

Computed properties:
Symmetry = C2/m

Record 3
## Ac4GaHg (GGA-PBE)

Data for Ac4GaHg after structural relaxation.

a = 5.491 Å, b = 5.491 Å, c = 7.796 Å
α = 90.00°, β = 90.00°, γ = 90.00°
Fractional coordinates of all 6 atoms:
Ac: 0.000 0.500 0.243
Ac: 0.000 0.500 0.757
Ac: 0.500 0.000 0.243
Ac: 0.500 0.000 0.757
Ga: 0.000 0.000 0.000
Hg: 0.500 0.500 0.500

Computed properties:
Relative energy among the computed polymorphs = 104 meV/atom
Symmetry = P4/mmm

Record 4
## AcGa3Hg (GGA-PBE)

Data for AcGa3Hg after structural relaxation.

a = 12.433 Å, b = 12.433 Å, c = 4.566 Å
α = 90.00°, β = 90.00°, γ = 159.33°
Fractional coordinates of all 10 atoms:
Ac: 0.171 0.829 0.000
Ac: 0.829 0.171 0.000
Ga: 0.051 0.949 0.500
Ga: 0.275 0.725 0.500
Ga: 0.449 0.551 0.000
Ga: 0.551 0.449 0.000
Ga: 0.725 0.275 0.500
Ga: 0.949 0.051 0.500
Hg: 0.384 0.616 0.500
Hg: 0.616 0.384 0.500

Computed properties:
Relative energy among the computed polymorphs = 120 meV/atom
Symmetry = Cmmm

DFT formation energy
In order: -0.15 -0.29 -0.17 -0.32
Unit: eV/atom
DOS(E_F)
In order: 0.718 0.383 1.283 0.563
Unit: states/eV/atom